# Pm2Cu2Pt15, relaxed, DFT PBE-GGA
# Energy of formation ... -0.430 eV/atom
data_Pm2Cu2Pt15
_chemical_formula_sum 'Pm6 Cu6 Pt45'
_symmetry_space_group_name_H-M 'R -3 m'
_symmetry_Int_Tables_number 166
_symmetry_space_group_name_Hall '-R 3 2"'
_cell_length_a 9.2562
_cell_length_b 9.2562
_cell_length_c 13.4537
_cell_angle_alpha 90.00
_cell_angle_beta 90.00
_cell_angle_gamma 120.00
loop_
_atom_site_label
_atom_site_type_symbol
_atom_site_fract_x
_atom_site_fract_y
_atom_site_fract_z
Pm1 Pm 0.0000 0.0000 0.1606
Cu1 Cu 0.0000 0.0000 0.4054
Pt1 Pt 0.0000 0.3106 0.5000
Pt2 Pt 0.0000 0.5000 0.0000
Pt3 Pt 0.9996 0.4998 0.3428



# PmCu2Pt4, relaxed, DFT PBE-GGA
# Energy of formation ... 0.073 eV/atom
# ΔE to the lowest computed polymorph ... 3.82 eV/f.u.
data_PmCu2Pt4
_chemical_formula_sum 'Pm2 Cu4 Pt8'
_symmetry_space_group_name_H-M 'I 4/m m m'
_symmetry_Int_Tables_number 139
_symmetry_space_group_name_Hall '-I 4 2'
_cell_length_a 7.896
_cell_length_b 7.896
_cell_length_c 4.970
_cell_angle_alpha 90.00
_cell_angle_beta 90.00
_cell_angle_gamma 90.00
loop_
_atom_site_label
_atom_site_type_symbol
_atom_site_fract_x
_atom_site_fract_y
_atom_site_fract_z
Pm1 Pm 0.000 0.000 0.000
Cu1 Cu 0.000 0.500 0.250
Pt1 Pt 0.000 0.230 0.500



# PmCuPt2, relaxed, DFT PBE-GGA
# Energy of formation ... -0.171 eV/atom
data_PmCuPt2
_chemical_formula_sum 'Pm4 Cu4 Pt8'
_symmetry_space_group_name_H-M 'P m m a'
_symmetry_Int_Tables_number 51
_cell_length_a 5.586
_cell_length_b 8.555
_cell_length_c 7.913
_cell_angle_alpha 90.00
_cell_angle_beta 90.00
_cell_angle_gamma 90.00
loop_
_symmetry_equiv_pos_as_xyz
'x,y,z'
'-x,-y,-z'
'-x+1/2,-y,z'
'x+1/2,y,-z'
'x+1/2,-y,-z'
'-x+1/2,y,z'
'-x,y,-z'
'x,-y,z'
loop_
_atom_site_label
_atom_site_type_symbol
_atom_site_fract_x
_atom_site_fract_y
_atom_site_fract_z
Pm1 Pm 0.250 0.000 0.178
Pm2 Pm 0.250 0.500 0.314
Cu1 Cu 0.250 0.000 0.784
Cu2 Cu 0.250 0.500 0.738
Pt1 Pt 0.000 0.000 0.500
Pt2 Pt 0.000 0.500 0.000
Pt3 Pt 0.250 0.265 0.550



# Pm3Cu2Pt, relaxed, DFT PBE-GGA
# Energy of formation ... -0.462 eV/atom
# ΔE to the lowest computed polymorph ... 0.05 eV/f.u.
data_Pm3Cu2Pt
_chemical_formula_sum 'Pm12 Cu8 Pt4'
_symmetry_space_group_name_H-M 'P n m a'
_symmetry_Int_Tables_number 62
_cell_length_a 12.014
_cell_length_b 4.395
_cell_length_c 11.071
_cell_angle_alpha 90.00
_cell_angle_beta 90.00
_cell_angle_gamma 90.00
loop_
_symmetry_equiv_pos_as_xyz
'x,y,z'
'-x,-y,-z'
'-x+1/2,-y,z+1/2'
'x+1/2,y,-z+1/2'
'x+1/2,-y+1/2,-z+1/2'
'-x+1/2,y+1/2,z+1/2'
'-x,y+1/2,-z'
'x,-y+1/2,z'
loop_
_atom_site_label
_atom_site_type_symbol
_atom_site_fract_x
_atom_site_fract_y
_atom_site_fract_z
Pm1 Pm 0.052 0.250 0.125
Pm2 Pm 0.113 0.750 0.566
Pm3 Pm 0.223 0.250 0.803
Cu1 Cu 0.014 0.750 0.304
Cu2 Cu 0.195 0.750 0.014
Pt1 Pt 0.126 0.250 0.377



# PmCuPt2, relaxed, DFT PBE-GGA
# Energy of formation ... -0.712 eV/atom
data_PmCuPt2
_chemical_formula_sum 'Pm3 Cu3 Pt6'
_symmetry_space_group_name_H-M 'R -3 m'
_symmetry_Int_Tables_number 166
_symmetry_space_group_name_Hall '-R 3 2"'
_cell_length_a 4.3891
_cell_length_b 4.3891
_cell_length_c 14.2022
_cell_angle_alpha 90.00
_cell_angle_beta 90.00
_cell_angle_gamma 120.00
loop_
_atom_site_label
_atom_site_type_symbol
_atom_site_fract_x
_atom_site_fract_y
_atom_site_fract_z
Pm1 Pm 0.0000 0.0000 0.0000
Cu1 Cu 0.0000 0.0000 0.5000
Pt1 Pt 0.0000 0.0000 0.2088



# Pm2Cu3Pt, relaxed, DFT PBE-GGA
# Energy of formation ... -0.486 eV/atom
# ΔE to the lowest computed polymorph ... 0.02 eV/f.u.
data_Pm2Cu3Pt
_chemical_formula_sum 'Pm2 Cu3 Pt1'
_symmetry_space_group_name_H-M 'P m m 2'
_symmetry_Int_Tables_number 25
_cell_length_a 3.774
_cell_length_b 4.287
_cell_length_c 7.511
_cell_angle_alpha 90.00
_cell_angle_beta 90.00
_cell_angle_gamma 90.00
loop_
_symmetry_equiv_pos_as_xyz
'x,y,z'
'-x,-y,z'
'-x,y,z'
'x,-y,z'
loop_
_atom_site_label
_atom_site_type_symbol
_atom_site_fract_x
_atom_site_fract_y
_atom_site_fract_z
Pm1 Pm 0.000 0.000 0.000
Pm2 Pm 0.000 0.500 0.487
Cu1 Cu 0.500 0.000 0.671
Cu2 Cu 0.500 0.500 0.147
Cu3 Cu 0.500 0.500 0.825
Pt1 Pt 0.500 0.000 0.330